{
  "formula": "PrZr2Rh2",
  "functional": "PBE-GGA",
  "state": "relaxed",
  "cell": [[-2.2812, 2.2812, 5.4716], [2.2812, -2.2812, 5.4716], [2.2812, 2.2812, -5.4716]],
  "species": ["Pr", "Zr", "Zr", "Rh", "Rh"],
  "frac_coords": [[0.0000, 0.0000, 0.0000], [0.2500, 0.7500, 0.5000], [0.7500, 0.2500, 0.5000], [0.3796, 0.3796, 0.0000], [0.6204, 0.6204, 0.0000]],
  "spacegroup": "I4/mmm",
  "crystal_system": "tetragonal",
  "delta_e_f_ev_per_atom": -0.61
}